Computed, not measured: a relaxed structure of Pr5Tm2In4 at the PBE level of DFT.

Lattice parameters (Å, degrees): 8.7088 8.7088 8.7088 142.62 109.52 82.60
Closest atoms and distances in Å follow each position.
Positions (direct):
Pr1 0.0000 0.0000 0.0000  4 Tm 3.50, 4 In 3.62, 4 Pr 3.75
Pr2 0.0839 0.2548 0.8292  3 Pr 3.22-3.43, 1 In 3.36, 3 Tm 3.48-3.50
Pr3 0.4256 0.2548 0.1708  3 Pr 3.22-3.43, 1 In 3.36, 3 Tm 3.48-3.50
Pr4 0.5744 0.7452 0.8292  3 Pr 3.22-3.43, 1 In 3.36, 3 Tm 3.48-3.50
Pr5 0.9161 0.7452 0.1708  3 Pr 3.22-3.43, 1 In 3.36, 3 Tm 3.48-3.50
Tm1 0.1615 0.6615 0.5000  3 In 2.98-3.12
Tm2 0.8385 0.3385 0.5000  3 In 2.98-3.12
In1 0.2291 0.5000 0.7291  2 Tm 3.12, 2 Pr 3.36
In2 0.3892 0.8892 0.5000  1 In 2.90, 1 Tm 2.98
In3 0.6108 0.1108 0.5000  1 In 2.90, 1 Tm 2.98
In4 0.7709 0.5000 0.2709  2 Tm 3.12, 2 Pr 3.36

Results
The value obtained for the density is 6.79 g/cm³. As for the space-group type: Immm (71). The total magnetization comes out at 0.0 μB per cell. Its calculated formation energy is 0.3 eV/f.u.

***

Computed, not measured: a relaxed structure of Ba2SmAu4 at the PBE level of DFT.

Lattice parameters (Å, degrees): 8.1308 8.1308 8.1308 140.06 140.06 57.77
Closest atoms and distances in Å follow each position.
Positions (direct):
Ba1 0.2191 0.2191 0.0000  4 Au 3.26
Ba2 0.7809 0.7809 0.0000  4 Au 3.26
Sm1 0.5000 0.5000 0.0000  8 Au 3.12
Au1 0.0998 0.5998 0.5000  1 Au 2.84, 2 Sm 3.12
Au2 0.4002 0.9002 0.5000  1 Au 2.84, 2 Sm 3.12
Au3 0.5998 0.0998 0.5000  1 Au 2.84, 2 Sm 3.12
Au4 0.9002 0.4002 0.5000  1 Au 2.84, 2 Sm 3.12

Results
The value obtained for the density is 9.17 g/cm³. As for the space-group type: I4/mmm (139). The total magnetization comes out at 0.0 μB per cell. Its calculated formation energy is -4.0 eV/f.u.

***

Computed, not measured: a relaxed structure of AlRu2Pb at the PBE level of DFT.

Lattice parameters (Å, degrees): 3.1656 3.1656 6.4227 90.00 90.00 90.00
Closest atoms and distances in Å follow each position.
Positions (direct):
Al1 0.0000 0.0000 0.0000  8 Ru 2.67
Ru1 0.5000 0.5000 0.2252  4 Al 2.67, 4 Pb 2.85, 1 Ru 2.89
Ru2 0.5000 0.5000 0.7748  4 Al 2.67, 4 Pb 2.85, 1 Ru 2.89
Pb1 0.0000 0.0000 0.5000  8 Ru 2.85, 4 Pb 3.17

Results
The value obtained for the density is 11.26 g/cm³. As for the space-group type: P4/mmm (123). As for the energy above the most stable polymorph in this dataset: 0.000 eV/atom. The total magnetization comes out at 0.0 μB per cell. Its calculated formation energy is 0.0 eV/f.u.

***

Computed, not measured: a relaxed structure of CaFeP2 at the PBE level of DFT.

Lattice parameters (Å, degrees): 5.4965 5.4965 5.4965 40.88 40.88 40.88
Closest atoms and distances in Å follow each position.
Positions (direct):
Ca1 0.0000 0.0000 0.0000  8 P 2.89-3.17
Fe1 0.5000 0.5000 0.5000  6 P 2.31
P1 0.2099 0.2099 0.2099  3 Fe 2.31, 3 P 2.57
P2 0.7901 0.7901 0.7901  3 Fe 2.31, 3 P 2.57

Results
The value obtained for the density is 4.08 g/cm³. As for the space-group type: R-3m (166). As for the energy above the most stable polymorph in this dataset: 0.000 eV/atom. The total magnetization comes out at 0.0 μB per cell. Its calculated formation energy is -2.6 eV/f.u.

***

Computed, not measured: a relaxed structure of Ac5Ge3 at the PBE level of DFT.

Lattice parameters (Å, degrees): 9.5314 9.5314 9.5314 97.23 97.23 138.44
Closest atoms and distances in Å follow each position.
Positions (direct):
Ac1 0.0861 0.7919 0.8780  4 Ge 3.28-3.51, 1 Ac 3.67
Ac2 0.2081 0.0861 0.2943  4 Ge 3.28-3.51, 1 Ac 3.67
Ac3 0.2500 0.7500 0.5000  4 Ge 3.29, 2 Ac 3.38
Ac4 0.2919 0.5861 0.8780  4 Ge 3.28-3.51, 1 Ac 3.67
Ac5 0.4139 0.2919 0.7057  4 Ge 3.28-3.51, 1 Ac 3.67
Ac6 0.5861 0.7081 0.2943  4 Ge 3.28-3.51, 1 Ac 3.67
Ac7 0.7081 0.4139 0.1220  4 Ge 3.28-3.51, 1 Ac 3.67
Ac8 0.7500 0.2500 0.5000  4 Ge 3.29, 2 Ac 3.38
Ac9 0.7919 0.9139 0.7057  4 Ge 3.28-3.51, 1 Ac 3.67
Ac10 0.9139 0.2081 0.1220  4 Ge 3.28-3.51, 1 Ac 3.67
Ge1 0.1587 0.3413 0.5000  6 Ac 3.28-3.51
Ge2 0.2500 0.2500 0.0000  8 Ac 3.30, 2 Ge 3.38
Ge3 0.3413 0.8413 0.1826  6 Ac 3.28-3.51
Ge4 0.6587 0.1587 0.8174  6 Ac 3.28-3.51
Ge5 0.7500 0.7500 0.0000  8 Ac 3.30, 2 Ge 3.38
Ge6 0.8413 0.6587 0.5000  6 Ac 3.28-3.51

Results
The value obtained for the density is 8.37 g/cm³. As for the space-group type: I4/mcm (140). As for the energy above the most stable polymorph in this dataset: 0.040 eV/atom. The total magnetization comes out at 1.4 μB per cell. Its calculated formation energy is -4.2 eV/f.u.

***

Computed, not measured: a relaxed structure of BeCo2Os at the PBE level of DFT.

Lattice parameters (Å, degrees): 2.5506 3.7044 4.7372 90.00 101.95 90.00
Closest atoms and distances in Å follow each position.
Positions (direct):
Be1 0.0000 0.0000 0.0000  4 Co 2.30, 2 Os 2.37, 2 Be 2.55
Co1 0.4118 0.5000 0.2349  2 Be 2.30, 4 Co 2.36-2.55, 2 Os 2.55
Co2 0.5882 0.5000 0.7651  2 Be 2.30, 4 Co 2.36-2.55, 2 Os 2.55
Os1 0.0000 0.0000 0.5000  2 Be 2.37, 8 Co 2.55-2.58, 2 Os 2.55

Results
The value obtained for the density is 12.02 g/cm³. As for the space-group type: P2/m (10). The total magnetization comes out at 1.1 μB per cell. Its calculated formation energy is 0.1 eV/f.u.